1.
A plane-wave DFT calculation with PBE-GGA was carried out for an optimized crystal structure of PmNdCuOs.

a b c (Å): 4.998 4.998 4.998
angles (deg): 60.00 60.00 60.00
Fractional positions:
1 Pm 0.500 0.500 0.500
2 Os 0.750 0.750 0.750
3 Cu 0.250 0.250 0.250
4 Nd 0.000 0.000 0.000

## Properties
DOS(E_F)   0.46 states/eV per atom
Magnetic moment   0.000 μB/atom
Formation enthalpy at 0 K   -89 meV/atom

2.
A plane-wave DFT calculation with PBE-GGA was carried out for an optimized crystal structure of EuDyTlPb.

a b c (Å): 5.513 5.513 5.513
angles (deg): 60.00 60.00 60.00
Fractional positions:
1 Dy 0.750 0.750 0.750
2 Pb 0.500 0.500 0.500
3 Eu 0.250 0.250 0.250
4 Tl 0.000 0.000 0.000

## Properties
DOS(E_F)   0.50 states/eV per atom
Magnetic moment   1.802 μB/atom
Formation enthalpy at 0 K   -406 meV/atom

3.
A plane-wave DFT calculation with PBE-GGA was carried out for an optimized crystal structure of CaDyYIn.

a b c (Å): 5.498 5.498 5.498
angles (deg): 60.00 60.00 60.00
Fractional positions:
1 Y 0.750 0.750 0.750
2 Dy 0.250 0.250 0.250
3 In 0.000 0.000 0.000
4 Ca 0.500 0.500 0.500

## Properties
DOS(E_F)   0.90 states/eV per atom
Magnetic moment   0.000 μB/atom
Formation enthalpy at 0 K   -149 meV/atom

4.
A plane-wave DFT calculation with PBE-GGA was carried out for an optimized crystal structure of Rb2Al2Au.

a b c (Å): 3.927 3.927 11.348
angles (deg): 80.04 80.04 90.00
Fractional positions:
1 Rb 0.402 0.402 0.196
2 Rb 0.598 0.598 0.804
3 Al 0.750 0.250 0.500
4 Al 0.250 0.750 0.500
5 Au 0.000 0.000 0.000

## Properties
DOS(E_F)   0.26 states/eV per atom
Magnetic moment   0.000 μB/atom
Distance to the lowest polymorph of the same formula   3.5 meV/atom
Formation enthalpy at 0 K   89 meV/atom

5.
A plane-wave DFT calculation with PBE-GGA was carried out for an optimized crystal structure of MgTaAs.

a b c (Å): 5.530 5.533 5.533
angles (deg): 145.01 145.01 50.33
Fractional positions:
1 As 0.020 0.021 0.000
2 Mg 0.336 0.336 0.000
3 Ta 0.643 0.643 0.000

## Properties
DOS(E_F)   0.54 states/eV per atom
Magnetic moment   0.000 μB/atom
Distance to the lowest polymorph of the same formula   0.0 meV/atom
Formation enthalpy at 0 K   -107 meV/atom

6.
A plane-wave DFT calculation with PBE-GGA was carried out for an optimized crystal structure of Co2CuSn2.

a b c (Å): 7.296 7.296 2.964
angles (deg): 90.00 90.00 90.00
Fractional positions:
1 Co 0.363 0.137 0.500
2 Co 0.863 0.363 0.500
3 Co 0.637 0.863 0.500
4 Co 0.137 0.637 0.500
5 Sn 0.660 0.160 0.000
6 Sn 0.160 0.340 0.000
7 Sn 0.340 0.840 0.000
8 Sn 0.840 0.660 0.000
9 Cu 0.500 0.500 0.000
10 Cu 0.000 0.000 0.000

## Properties
DOS(E_F)   0.51 states/eV per atom
Magnetic moment   0.000 μB/atom
Distance to the lowest polymorph of the same formula   90.4 meV/atom
Formation enthalpy at 0 K   176 meV/atom

7.
A plane-wave DFT calculation with PBE-GGA was carried out for an optimized crystal structure of CdAsRu3.

a b c (Å): 4.891 4.891 4.891
angles (deg): 90.00 90.00 90.00
Fractional positions:
1 Ru 0.000 0.500 0.000
2 Ru 0.000 0.000 0.500
3 Ru 0.500 0.000 0.000
4 As 0.500 0.500 0.500
5 Cd 0.000 0.000 0.000

## Properties
DOS(E_F)   1.40 states/eV per atom
Magnetic moment   1.238 μB/atom
Distance to the lowest polymorph of the same formula   1524.6 meV/atom
Formation enthalpy at 0 K   2272 meV/atom

8.
A plane-wave DFT calculation with PBE-GGA was carried out for an optimized crystal structure of LiMg2Be2Au5.

a b c (Å): 3.307 9.765 9.765
angles (deg): 90.00 90.00 90.00
Fractional positions:
1 Au 0.500 0.202 0.073
2 Au 0.500 0.298 0.573
3 Au 0.500 0.573 0.702
4 Au 0.500 0.500 0.000
5 Au 0.500 0.798 0.927
6 Au 0.500 0.702 0.427
7 Au 0.500 0.073 0.798
8 Au 0.500 0.927 0.202
9 Au 0.500 0.000 0.500
10 Au 0.500 0.427 0.298
11 Li 0.000 0.000 0.000
12 Li 0.000 0.500 0.500
13 Mg 0.000 0.826 0.674
14 Mg 0.000 0.674 0.174
15 Mg 0.000 0.174 0.326
16 Mg 0.000 0.326 0.826
17 Be 0.000 0.872 0.372
18 Be 0.000 0.128 0.628
19 Be 0.000 0.372 0.128
20 Be 0.000 0.628 0.872

## Properties
DOS(E_F)   0.28 states/eV per atom
Magnetic moment   0.000 μB/atom
Formation enthalpy at 0 K   -378 meV/atom

9.
A plane-wave DFT calculation with PBE-GGA was carried out for an optimized crystal structure of Er4AgS2.

a b c (Å): 3.861 6.626 13.523
angles (deg): 90.00 90.00 106.94
Fractional positions:
1 S 0.137 0.274 0.060
2 S 0.863 0.726 0.560
3 S 0.137 0.274 0.440
4 S 0.863 0.726 0.940
5 Er 0.774 0.547 0.381
6 Er 0.500 0.000 0.500
7 Er 0.500 0.000 0.000
8 Er 0.774 0.547 0.119
9 Er 0.064 0.127 0.250
10 Er 0.936 0.873 0.750
11 Er 0.226 0.453 0.881
12 Er 0.226 0.453 0.619
13 Ag 0.389 0.779 0.250
14 Ag 0.611 0.221 0.750

## Properties
DOS(E_F)   0.49 states/eV per atom
Magnetic moment   0.000 μB/atom
Uncorrected formation energy   -1.22 eV/atom

10.
A plane-wave DFT calculation with PBE-GGA was carried out for an optimized crystal structure of ReRu2Au.

a b c (Å): 4.437 4.437 4.437
angles (deg): 60.00 60.00 60.00
Fractional positions:
1 Ru 0.750 0.750 0.750
2 Ru 0.000 0.000 0.000
3 Au 0.500 0.500 0.500
4 Re 0.250 0.250 0.250

## Properties
DOS(E_F)   0.99 states/eV per atom
Magnetic moment   0.457 μB/atom
Distance to the lowest polymorph of the same formula   562.7 meV/atom
Formation enthalpy at 0 K   702 meV/atom

11.
A plane-wave DFT calculation with PBE-GGA was carried out for an optimized crystal structure of NbHRh3.

a b c (Å): 6.991 6.991 4.853
angles (deg): 90.00 90.00 133.80
Fractional positions:
1 Rh 0.080 0.401 0.250
2 Rh 0.000 0.000 0.000
3 Rh 0.401 0.080 0.750
4 Rh 0.920 0.599 0.750
5 Rh 0.599 0.920 0.250
6 Rh 0.000 0.000 0.500
7 Nb 0.182 0.818 0.250
8 Nb 0.818 0.182 0.750
9 H 0.419 0.581 0.250
10 H 0.581 0.419 0.750

## Properties
DOS(E_F)   0.58 states/eV per atom
Magnetic moment   0.000 μB/atom
Distance to the lowest polymorph of the same formula   705.6 meV/atom

12.
A plane-wave DFT calculation with PBE-GGA was carried out for an optimized crystal structure of GdYPt2.

a b c (Å): 3.475 4.998 4.998
angles (deg): 90.00 90.00 90.00
Fractional positions:
1 Pt 0.000 0.000 0.500
2 Pt 0.000 0.500 0.000
3 Gd 0.500 0.500 0.500
4 Y 0.500 0.000 0.000

## Properties
DOS(E_F)   0.62 states/eV per atom
Magnetic moment   1.771 μB/atom
Formation enthalpy at 0 K   -1181 meV/atom

no.,density (g/cm³),E (eV per atom)
1,10.21,-6.2997
2,10.17,-5.6435
3,5.74,-4.1006
4,4.13,-2.4501
5,8.40,-6.1391
6,8.82,-5.0868
7,6.96,-4.4061
8,11.15,-3.2720
9,8.44,-5.4173
10,15.74,-7.8675
11,7.81,-6.8071
12,12.17,-9.3377